(1)
MnSiAg2 | PBE | optimized geometry

Computed properties:
For the offset from the most stable computed form, the calculation gives 6.4 kJ/mol of atoms. The value obtained for the total DFT energy (no corrections) is -0.1798 Ha/atom. Its crystal system is trigonal. The calculation puts the calculated volume at 15.8 Å³/atom. The value obtained for the uncorrected formation energy is 0.18 eV/atom.

```
4
Lattice="-8.622 -2.467 -0.357 -7.430 -4.774 -1.595 -7.598 -4.605 1.272" Properties=species:S:1:pos:R:3 pbc="T T T"
Ag -0.128 -0.064 -0.004
Ag -5.801 -2.906 -0.167
Mn -11.662 -5.841 -0.336
Si -17.883 -8.958 -0.515
```

(2)
MnSiAg2 | PBE | optimized geometry

Computed properties:
For the offset from the most stable computed form, the calculation gives 2.9 kJ/mol of atoms. The value obtained for the total DFT energy (no corrections) is -0.1811 Ha/atom. Its crystal system is tetragonal. The calculation puts the calculated volume at 15.5 Å³/atom. The value obtained for the uncorrected formation energy is 0.15 eV/atom.

```
4
Lattice="2.843 0.000 0.000 0.000 2.843 0.000 0.000 0.000 7.653" Properties=species:S:1:pos:R:3 pbc="T T T"
Ag 0.000 0.000 7.493
Ag 1.421 1.421 2.064
Mn 0.000 0.000 4.070
Si 1.421 1.421 5.507
```

(3)
Mn2SiAg | PBE | optimized geometry

Computed properties:
The value obtained for the total DFT energy (no corrections) is -0.2365 Ha/atom. Its crystal system is orthorhombic. The calculation puts the calculated volume at 14.5 Å³/atom. The value obtained for the uncorrected formation energy is 0.22 eV/atom.

```
4
Lattice="-3.793 2.425 2.695 -4.538 -2.488 0.865 5.204 0.149 0.653" Properties=species:S:1:pos:R:3 pbc="T T T"
Ag -1.888 -1.187 1.708
Mn -8.267 -0.063 3.533
Mn -1.241 1.272 2.506
Si -4.227 -0.032 1.806
```

(4)
Mn2SiAg | PBE | optimized geometry

Computed properties:
The value obtained for the total DFT energy (no corrections) is -0.2386 Ha/atom. Its crystal system is monoclinic. The calculation puts the calculated volume at 13.9 Å³/atom. The value obtained for the uncorrected formation energy is 0.16 eV/atom.

```
4
Lattice="-3.229 -5.095 0.376 3.307 0.513 -3.163 1.293 -2.231 0.982" Properties=species:S:1:pos:R:3 pbc="T T T"
Ag 0.039 -2.291 -1.394
Mn 0.000 0.000 0.000
Mn -0.968 -3.663 0.679
Si 2.300 -0.859 -1.091
```

(5)
Mn4SiAg | PBE | optimized geometry

Computed properties:
The value obtained for the total DFT energy (no corrections) is -0.2602 Ha/atom. Its crystal system is cubic. The calculation puts the calculated volume at 12.7 Å³/atom. The value obtained for the uncorrected formation energy is 0.41 eV/atom.

```
6
Lattice="4.092 -2.417 0.260 0.193 -4.099 2.412 0.485 -4.117 -2.339" Properties=species:S:1:pos:R:3 pbc="T T T"
Mn 2.737 -4.592 1.369
Mn 2.882 -4.601 -0.990
Mn 2.978 -6.637 0.208
Mn 0.946 -5.436 0.078
Si 1.193 -2.658 0.083
Ag 0.000 0.000 0.000
```

(6)
Mn2SiAg | PBE | optimized geometry

Computed properties:
The value obtained for the total DFT energy (no corrections) is -0.2397 Ha/atom. Its crystal system is tetragonal. The calculation puts the calculated volume at 13.8 Å³/atom. The value obtained for the uncorrected formation energy is 0.13 eV/atom.

```
4
Lattice="2.735 0.000 0.000 0.000 2.735 0.000 0.000 0.000 7.364" Properties=species:S:1:pos:R:3 pbc="T T T"
Ag 1.368 1.368 5.535
Mn 0.000 0.000 0.318
Mn 1.368 1.368 1.842
Si 0.000 0.000 3.351
```

(7)
MnSiAg2 | PBE | optimized geometry

Computed properties:
For the offset from the most stable computed form, the calculation gives 22.4 kJ/mol of atoms. The value obtained for the total DFT energy (no corrections) is -0.1737 Ha/atom. Its crystal system is tetragonal. The calculation puts the calculated volume at 16.7 Å³/atom. The value obtained for the uncorrected formation energy is 0.35 eV/atom.

```
4
Lattice="-1.482 -0.172 2.414 2.046 -1.599 1.144 3.781 6.845 2.809" Properties=species:S:1:pos:R:3 pbc="T T T"
Ag 0.018 0.033 0.013
Ag 1.873 3.390 1.391
Mn 1.227 0.826 2.481
Si 3.118 4.248 3.885
```

(8)
MnSiAg2 | PBE | optimized geometry

Computed properties:
For the offset from the most stable computed form, the calculation gives 20.5 kJ/mol of atoms. The value obtained for the total DFT energy (no corrections) is -0.1744 Ha/atom. Its crystal system is orthorhombic. The calculation puts the calculated volume at 16.4 Å³/atom. The value obtained for the uncorrected formation energy is 0.33 eV/atom.

```
4
Lattice="-4.036 0.039 -2.955 1.822 -4.554 0.981 -1.699 -0.181 2.318" Properties=species:S:1:pos:R:3 pbc="T T T"
Ag 0.000 0.000 0.000
Ag -1.107 -2.258 -0.987
Mn -2.867 -0.071 -0.319
Si 0.062 -2.367 1.649
```

Among the records above, which one has the lowest calculated volume?
Mn4SiAg